Arrangement A

# LaZn3Te

A relaxed LaZn3Te crystal (PBE, Alexandria via LeMat-Bulk).

Cell lengths 5.1985, 5.1985, 5.1985 Å; angles 90.00, 90.00, 90.00 degrees
Positions (direct):
Zn 0.5000 0.0000 0.0000
Te 0.0000 0.0000 0.0000
La 0.5000 0.5000 0.5000
Zn 0.0000 0.0000 0.5000
Zn 0.0000 0.5000 0.0000



Arrangement B

# LaZn3Te

A relaxed LaZn3Te crystal (PBE, Alexandria via LeMat-Bulk).

Cell lengths 5.7522, 5.7522, 5.7522 Å; angles 90.00, 90.00, 90.00 degrees
Positions (direct):
Te 0.5000 0.5000 0.5000
Zn 0.0000 0.5000 0.0000
Zn 0.5000 0.0000 0.0000
La 0.0000 0.0000 0.0000
Zn 0.0000 0.0000 0.5000



List of relative energies, unit eV/atom: arrangement A 0.000; arrangement B 0.398



Arrangement A

# LaZr3Te

A relaxed LaZr3Te crystal (PBE, Alexandria via LeMat-Bulk).

Cell lengths 5.3760, 5.3760, 5.3760 Å; angles 90.00, 90.00, 90.00 degrees
Positions (direct):
Zr 0.0000 0.0000 0.5000
Zr 0.5000 0.0000 0.0000
Zr 0.0000 0.5000 0.0000
Te 0.0000 0.0000 0.0000
La 0.5000 0.5000 0.5000



Arrangement B

# LaZr3Te

A relaxed LaZr3Te crystal (PBE, Alexandria via LeMat-Bulk).

Cell lengths 5.1863, 5.1863, 5.1863 Å; angles 90.00, 90.00, 90.00 degrees
Positions (direct):
Te 0.5000 0.5000 0.5000
Zr 0.0000 0.0000 0.5000
La 0.0000 0.0000 0.0000
Zr 0.0000 0.5000 0.0000
Zr 0.5000 0.0000 0.0000



List of relative energies, unit eV/atom: arrangement A 0.000; arrangement B 0.797



Arrangement A

# LaTh4

A relaxed LaTh4 crystal (PBE, Alexandria via LeMat-Bulk).

Cell lengths 3.5769, 3.5822, 15.4746 Å; angles 76.64, 90.02, 119.94 degrees
Positions (direct):
Th 0.5336 0.0699 0.2050
Th 0.7338 0.4683 0.4012
Th 0.4664 0.9301 0.7950
Th 0.2662 0.5317 0.5988
La 0.0000 0.0000 0.0000



Arrangement B

# LaTh4

A relaxed LaTh4 crystal (PBE, Alexandria via LeMat-Bulk).

Cell lengths 5.7197, 5.7197, 5.7197 Å; angles 90.00, 90.00, 90.00 degrees
Positions (direct):
Th 0.0000 0.5000 0.5000
Th 0.0000 0.0000 0.0000
Th 0.5000 0.5000 0.0000
La 0.5000 0.5000 0.5000
Th 0.5000 0.0000 0.5000



List of relative energies, unit eV/atom: arrangement A 0.000; arrangement B 0.884



Arrangement A

# La2TmTh

A relaxed La2TmTh crystal (PBE, Alexandria via LeMat-Bulk).

Cell lengths 5.7917, 5.7917, 5.7917 Å; angles 60.00, 60.00, 60.00 degrees
Positions (direct):
La 0.2500 0.2500 0.2500
Tm 0.5000 0.5000 0.5000
La 0.7500 0.7500 0.7500
Th 0.0000 0.0000 0.0000



Arrangement B

# La2TmTh

A relaxed La2TmTh crystal (PBE, Alexandria via LeMat-Bulk).

Cell lengths 5.1597, 5.1102, 5.1102 Å; angles 90.00, 90.00, 90.00 degrees
Positions (direct):
Tm 0.5000 0.0000 0.0000
La 0.0000 0.0000 0.5000
Th 0.5000 0.5000 0.5000
La 0.0000 0.5000 0.0000



List of relative energies, unit eV/atom: arrangement A 0.154; arrangement B 0.000



Arrangement A

# La2TmTh

A relaxed La2TmTh crystal (PBE, Alexandria via LeMat-Bulk).

Cell lengths 3.6090, 8.0398, 11.5849 Å; angles 65.36, 71.96, 63.51 degrees
Positions (direct):
La 0.6293 0.1293 0.7412
La 0.7276 0.2726 0.9997
Th 0.0000 0.5000 0.5000
La 0.3707 0.8707 0.2588
Th 0.5000 0.0000 0.5000
Tm 0.1346 0.6343 0.7315
La 0.2724 0.7274 0.0003
Tm 0.8654 0.3657 0.2685



Arrangement B

# La2TmTh

A relaxed La2TmTh crystal (PBE, Alexandria via LeMat-Bulk).

Cell lengths 3.6344, 3.6344, 11.9558 Å; angles 81.26, 81.26, 60.00 degrees
Positions (direct):
La 0.7490 0.7490 0.7529
Tm 0.5000 0.5000 0.5000
Th 0.0000 0.0000 0.0000
La 0.2510 0.2510 0.2471



List of relative energies, unit eV/atom: arrangement A 0.000; arrangement B 0.017



Arrangement A

# La12Tm7Th

A relaxed La12Tm7Th crystal (PBE, Alexandria via LeMat-Bulk).

Cell lengths 6.3689, 11.5063, 11.5063 Å; angles 116.68, 100.63, 100.63 degrees
Positions (direct):
La 0.5013 0.5935 0.4066
Tm 0.1222 0.7513 0.0003
La 0.0947 0.5934 0.1869
Tm 0.3709 0.2490 0.2487
La 0.4230 0.3553 0.9996
Tm 0.6291 0.7510 0.7513
La 0.0922 0.1869 0.5935
La 0.9053 0.4066 0.8131
La 0.9323 0.3557 0.3553
Tm 0.8778 0.2487 0.9997
La 0.4234 0.0004 0.3557
La 0.5770 0.6447 0.0004
La 0.9078 0.8131 0.4065
La 0.4987 0.4065 0.5934
Tm 0.1219 0.9997 0.7510
Tm 0.5000 0.0000 0.0000
Th 0.0000 0.0000 0.0000
Tm 0.8781 0.0003 0.2490
La 0.5766 0.9996 0.6443
La 0.0677 0.6443 0.6447



Arrangement B

# La12Tm7Th

A relaxed La12Tm7Th crystal (PBE, Alexandria via LeMat-Bulk).

Cell lengths 8.8177, 8.8177, 8.8177 Å; angles 89.94, 89.94, 89.94 degrees
Positions (direct):
La 0.1452 0.4846 0.6130
La 0.4846 0.6130 0.1452
La 0.2788 0.1405 0.7334
La 0.8548 0.5154 0.3870
Tm 0.1420 0.3719 0.0585
La 0.1405 0.7334 0.2788
Tm 0.6281 0.9415 0.8580
La 0.3870 0.8548 0.5154
Tm 0.8580 0.6281 0.9415
La 0.2666 0.7212 0.8595
Th 0.0000 0.0000 0.0000
Tm 0.3719 0.0585 0.1420
Tm 0.0585 0.1420 0.3719
La 0.6130 0.1452 0.4846
La 0.8595 0.2666 0.7212
Tm 0.5000 0.5000 0.5000
Tm 0.9415 0.8580 0.6281
La 0.5154 0.3870 0.8548
La 0.7334 0.2788 0.1405
La 0.7212 0.8595 0.2666



List of relative energies, unit eV/atom: arrangement A 0.046; arrangement B 0.000